No. 1
An optimized crystal structure of Ba2OsO4. Source: Alexandria via LeMat-Bulk, functional PBE.

Computed properties:
Symmetry: I4/mmm
Total DFT energy (no corrections) in eV/atom: -6.9313
D(E_F) in states/eV/cell: 4.11
Calculated volume in Å³/atom: 19.94
Energy relative to the elements, uncorrected in eV per atom: -1.944
Total magnetic moment in Bohr magnetons per cell: 2.000

Cell: 5.710 5.710 5.710 Å, 115.14 115.14 98.65°
Fractional coordinates of all 7 atoms:
1 O 0.720 0.280 0.000
2 O 0.280 0.280 0.560
3 O 0.280 0.720 0.000
4 O 0.720 0.720 0.440
5 Ba 0.250 0.750 0.500
6 Ba 0.750 0.250 0.500
7 Os 0.500 0.500 0.000

No. 2
An optimized crystal structure of Ba2OsO2. Source: Alexandria via LeMat-Bulk, functional PBE.

Computed properties:
Symmetry: P4/mbm
Total DFT energy (no corrections) in eV/atom: -5.2739
D(E_F) in states/eV/cell: 6.30
Calculated volume in Å³/atom: 21.16
Energy relative to the elements, uncorrected in eV per atom: -0.276
Total magnetic moment in Bohr magnetons per cell: 6.756

Cell: 8.040 8.040 3.273 Å, 90.00 90.00 90.00°
Fractional coordinates of all 10 atoms:
1 Ba 0.152 0.348 0.000
2 Ba 0.348 0.848 0.000
3 Ba 0.848 0.652 0.000
4 Ba 0.652 0.152 0.000
5 Os 0.500 0.500 0.000
6 Os 0.000 0.000 0.000
7 O 0.151 0.651 0.500
8 O 0.349 0.151 0.500
9 O 0.849 0.349 0.500
10 O 0.651 0.849 0.500

No. 3
An optimized crystal structure of BaOsO4. Source: Alexandria via LeMat-Bulk, functional PBE.

Computed properties:
Symmetry: C2/c
Total DFT energy (no corrections) in eV/atom: -7.1880
Calculated volume in Å³/atom: 17.15
Energy relative to the elements, uncorrected in eV per atom: -1.690
Total magnetic moment in Bohr magnetons per cell: 0.000

Cell: 6.415 6.064 6.064 Å, 110.62 101.88 101.88°
Fractional coordinates of all 12 atoms:
1 O 0.852 0.238 0.309
2 O 0.148 0.762 0.691
3 O 0.474 0.857 0.113
4 O 0.974 0.113 0.857
5 O 0.648 0.691 0.762
6 O 0.526 0.143 0.887
7 O 0.352 0.309 0.238
8 O 0.026 0.887 0.143
9 Ba 0.750 0.658 0.342
10 Ba 0.250 0.342 0.658
11 Os 0.750 0.002 0.998
12 Os 0.250 0.998 0.002

No. 4
An optimized crystal structure of BaOs2O. Source: Alexandria via LeMat-Bulk, functional PBE.

Computed properties:
Symmetry: I4_1/amd
Total DFT energy (no corrections) in eV/atom: -6.9441
D(E_F) in states/eV/cell: 7.21
Calculated volume in Å³/atom: 21.33
Energy relative to the elements, uncorrected in eV per atom: 0.391
Total magnetic moment in Bohr magnetons per cell: 0.000

Cell: 4.997 4.997 7.694 Å, 71.05 71.05 90.00°
Fractional coordinates of all 8 atoms:
1 Os 0.375 0.625 0.750
2 Os 0.375 0.625 0.250
3 Os 0.375 0.125 0.250
4 Os 0.875 0.625 0.750
5 Ba 0.750 0.250 0.500
6 Ba 0.000 0.000 0.000
7 O 0.500 0.500 0.000
8 O 0.250 0.750 0.500

No. 5
An optimized crystal structure of Ba2Os2O7. Source: Alexandria via LeMat-Bulk, functional PBE.

Computed properties:
Symmetry: C2/m
Total DFT energy (no corrections) in eV/atom: -7.0619
D(E_F) in states/eV/cell: 3.61
Calculated volume in Å³/atom: 18.93
Energy relative to the elements, uncorrected in eV per atom: -1.515
Total magnetic moment in Bohr magnetons per cell: 0.000

Cell: 4.541 6.854 6.854 Å, 102.51 89.11 89.11°
Fractional coordinates of all 11 atoms:
1 O 0.206 0.380 0.380
2 O 0.213 0.627 0.937
3 O 0.787 0.063 0.373
4 O 0.000 0.000 0.000
5 O 0.794 0.620 0.620
6 O 0.213 0.937 0.627
7 O 0.787 0.373 0.063
8 Ba 0.500 0.714 0.286
9 Ba 0.500 0.286 0.714
10 Os 0.034 0.781 0.781
11 Os 0.966 0.219 0.219

No. 6
An optimized crystal structure of BaPOsO2. Source: Alexandria via LeMat-Bulk, functional PBE.

Computed properties:
Symmetry: P4/mmm
Total DFT energy (no corrections) in eV/atom: -6.4755
D(E_F) in states/eV/cell: 5.22
Calculated volume in Å³/atom: 16.34
Energy relative to the elements, uncorrected in eV per atom: -0.780
Total magnetic moment in Bohr magnetons per cell: 0.000

Cell: 4.233 4.233 4.560 Å, 90.00 90.00 90.00°
Fractional coordinates of all 5 atoms:
1 O 0.500 0.000 0.000
2 O 0.000 0.500 0.000
3 Os 0.000 0.000 0.000
4 P 0.000 0.000 0.500
5 Ba 0.500 0.500 0.500

No. 7
An optimized crystal structure of BaP2OsO. Source: Alexandria via LeMat-Bulk, functional PBE.

Computed properties:
Symmetry: P4/mmm
Total DFT energy (no corrections) in eV/atom: -3.8809
D(E_F) in states/eV/cell: 6.02
Calculated volume in Å³/atom: 27.37
Energy relative to the elements, uncorrected in eV per atom: 1.905
Total magnetic moment in Bohr magnetons per cell: 2.005

Cell: 5.669 5.669 4.259 Å, 90.00 90.00 90.00°
Fractional coordinates of all 5 atoms:
1 Os 0.500 0.500 0.500
2 O 0.000 0.000 0.500
3 P 0.500 0.000 0.000
4 P 0.000 0.500 0.000
5 Ba 0.000 0.000 0.000

No. 8
An optimized crystal structure of BaP2OsO. Source: Alexandria via LeMat-Bulk, functional PBE.

Computed properties:
Symmetry: P4/mmm
Total DFT energy (no corrections) in eV/atom: -6.1262
D(E_F) in states/eV/cell: 2.03
Calculated volume in Å³/atom: 20.13
Energy relative to the elements, uncorrected in eV per atom: -0.340
Total magnetic moment in Bohr magnetons per cell: 0.000

Cell: 4.492 4.492 4.987 Å, 90.00 90.00 90.00°
Fractional coordinates of all 5 atoms:
1 Os 0.000 0.000 0.000
2 O 0.000 0.000 0.500
3 Ba 0.500 0.500 0.500
4 P 0.500 0.000 0.000
5 P 0.000 0.500 0.000

No. 9
An optimized crystal structure of BaPOsO2. Source: Alexandria via LeMat-Bulk, functional PBE.

Computed properties:
Symmetry: P4/mmm
Total DFT energy (no corrections) in eV/atom: -4.5596
D(E_F) in states/eV/cell: 8.74
Calculated volume in Å³/atom: 24.67
Energy relative to the elements, uncorrected in eV per atom: 1.136
Total magnetic moment in Bohr magnetons per cell: 3.097

Cell: 4.222 4.222 6.917 Å, 90.00 90.00 90.00°
Fractional coordinates of all 5 atoms:
1 Os 0.500 0.500 0.500
2 P 0.000 0.000 0.500
3 O 0.000 0.500 0.000
4 O 0.500 0.000 0.000
5 Ba 0.000 0.000 0.000

No. 10
An optimized crystal structure of BaPaOs2O8. Source: Alexandria via LeMat-Bulk, functional PBE.

Computed properties:
Symmetry: P-3m1
Total DFT energy (no corrections) in eV/atom: -7.8519
D(E_F) in states/eV/cell: 7.71
Calculated volume in Å³/atom: 18.75
Energy relative to the elements, uncorrected in eV per atom: -1.723
Total magnetic moment in Bohr magnetons per cell: 0.000

Cell: 5.840 5.840 7.618 Å, 90.00 90.00 120.00°
Fractional coordinates of all 12 atoms:
1 O 0.165 0.835 0.685
2 O 0.165 0.330 0.685
3 O 0.835 0.670 0.315
4 O 0.670 0.835 0.685
5 O 0.667 0.333 0.971
6 O 0.330 0.165 0.315
7 O 0.333 0.667 0.029
8 O 0.835 0.165 0.315
9 Os 0.667 0.333 0.206
10 Os 0.333 0.667 0.794
11 Pa 0.000 0.000 0.500
12 Ba 0.000 0.000 0.000

No. 11
An optimized crystal structure of Ba2Pa3OsO12. Source: Alexandria via LeMat-Bulk, functional PBE.

Computed properties:
Symmetry: R-3m
Total DFT energy (no corrections) in eV/atom: -8.5898
Calculated volume in Å³/atom: 19.28
Energy relative to the elements, uncorrected in eV per atom: -2.864
Total magnetic moment in Bohr magnetons per cell: 3.000

Cell: 7.760 7.760 7.760 Å, 62.26 62.26 62.26°
Fractional coordinates of all 18 atoms:
1 Ba 0.677 0.677 0.677
2 Ba 0.323 0.323 0.323
3 Pa 0.000 0.000 0.500
4 Pa 0.500 0.000 0.000
5 Pa 0.000 0.500 0.000
6 O 0.329 0.965 0.329
7 O 0.035 0.671 0.671
8 O 0.940 0.940 0.294
9 O 0.060 0.060 0.706
10 O 0.965 0.329 0.329
11 O 0.671 0.035 0.671
12 O 0.329 0.329 0.965
13 O 0.060 0.706 0.060
14 O 0.940 0.294 0.940
15 O 0.294 0.940 0.940
16 O 0.706 0.060 0.060
17 O 0.671 0.671 0.035
18 Os 0.000 0.000 0.000

No. 12
An optimized crystal structure of Ba2PaOs3O12. Source: Alexandria via LeMat-Bulk, functional PBE.

Computed properties:
Symmetry: R-3m
Total DFT energy (no corrections) in eV/atom: -7.8256
D(E_F) in states/eV/cell: 8.11
Calculated volume in Å³/atom: 15.55
Energy relative to the elements, uncorrected in eV per atom: -1.907
Total magnetic moment in Bohr magnetons per cell: 0.000

Cell: 7.399 7.399 7.399 Å, 58.99 58.99 58.99°
Fractional coordinates of all 18 atoms:
1 Os 0.500 0.000 0.000
2 Os 0.000 0.000 0.500
3 Os 0.000 0.500 0.000
4 O 0.919 0.298 0.298
5 O 0.298 0.298 0.919
6 O 0.702 0.702 0.081
7 O 0.099 0.634 0.099
8 O 0.901 0.366 0.901
9 O 0.298 0.919 0.298
10 O 0.901 0.901 0.366
11 O 0.634 0.099 0.099
12 O 0.099 0.099 0.634
13 O 0.702 0.081 0.702
14 O 0.081 0.702 0.702
15 O 0.366 0.901 0.901
16 Pa 0.000 0.000 0.000
17 Ba 0.361 0.361 0.361
18 Ba 0.639 0.639 0.639